VASP calculation (PBE) on an optimized crystal structure of Pu3InHg12.

Cell lengths 4.750, 4.750, 18.258 Å; angles 90.00, 90.00, 90.00 degrees
Atoms (fractional coordinates):
Pu1 0.000 0.000 0.000
Pu2 0.000 0.000 0.256
Pu3 0.000 0.000 0.744
In1 0.000 0.000 0.500
Hg1 0.000 0.500 0.127
Hg2 0.000 0.500 0.378
Hg3 0.000 0.500 0.622
Hg4 0.000 0.500 0.873
Hg5 0.500 0.000 0.127
Hg6 0.500 0.000 0.378
Hg7 0.500 0.000 0.622
Hg8 0.500 0.000 0.873
Hg9 0.500 0.500 0.000
Hg10 0.500 0.500 0.252
Hg11 0.500 0.500 0.500
Hg12 0.500 0.500 0.748

## Properties
As for the total magnetization: 0.363 μB per atom. For the energy of formation, the calculation gives -7.1 kJ/mol of atoms. As for the density of states at the Fermi level: 49.4 states/eV/cell. The value obtained for the final energy is -3.16 eV per atom. Its space-group type is P4/mmm (123).